## TcSbP3 (PBE)

Data for a relaxed TcSbP3 crystal.

Unit cell a=4.650 b=4.650 c=4.650 alpha=90.00 beta=90.00 gamma=90.00
Element x y z (fractional)
P: 0.000 0.500 0.000
P: 0.500 0.000 0.000
P: 0.000 0.000 0.500
Sb: 0.500 0.500 0.500
Tc: 0.000 0.000 0.000

Calculated values
The density of states at the Fermi level is 5.03 states/eV/f.u. The calculation puts the theoretical density at 5.16 g cm⁻³. The calculation puts the total energy at -28.05 eV/f.u. The energy above the lowest structure with this stoichiometry is 0.00 eV/f.u.